# 1
TmNpSi2O8: relaxed, PBE.

**Energy relative to the elements, uncorrected**: -2.9945 eV/atom
**Calculated volume**: 146.2 Å³ per cell
**Final energy**: -8.65 eV/atom

Cell lengths 5.7627, 5.7627, 5.7627 Å; angles 106.68, 106.68, 115.21 degrees
With the nearest neighbours (Å) after each atom.
Element x y z (fractional)
Np 0.2500 0.7500 0.5000  8 O 2.23-2.36
O 0.9247 0.6049 0.6802  1 Si 1.64
O 0.8549 0.6710 0.1838  1 Si 1.65
O 0.4872 0.6710 0.8162  1 Si 1.65
O 0.9247 0.2445 0.3198  1 Si 1.64
O 0.3290 0.1451 0.8162  1 Si 1.65
O 0.3290 0.5128 0.1838  1 Si 1.65
O 0.3951 0.0753 0.3198  1 Si 1.64
O 0.7555 0.0753 0.6802  1 Si 1.64
Tm 0.0000 0.0000 0.0000  8 O 2.25-2.39
Si 0.5000 0.5000 0.0000  4 O 1.65
Si 0.7500 0.2500 0.5000  4 O 1.64



# 2
NpZnSiO6: relaxed, PBE.

**Energy relative to the elements, uncorrected**: -2.2376 eV/atom
**Calculated volume**: 203.5 Å³ per cell
**Final energy**: -7.73 eV/atom

Cell lengths 5.1223, 5.1223, 8.9553 Å; angles 90.00, 90.00, 120.00 degrees
With the nearest neighbours (Å) after each atom.
Element x y z (fractional)
O 0.3723 0.3332 0.3634  1 Si 1.82
O 0.3332 0.9609 0.6366  1 Si 1.82
O 0.6277 0.6668 0.6366  1 Si 1.82
O 0.6668 0.6277 0.1366  1 Si 1.82
O 0.9609 0.3332 0.1366  1 Si 1.82
O 0.6277 0.9609 0.8634  1 Si 1.82
O 0.9609 0.6277 0.3634  1 Si 1.82
O 0.6668 0.0391 0.3634  1 Si 1.82
O 0.0391 0.3723 0.6366  1 Si 1.82
O 0.3723 0.0391 0.1366  1 Si 1.82
O 0.3332 0.3723 0.8634  1 Si 1.82
O 0.0391 0.6668 0.8634  1 Si 1.82
Zn 0.0000 0.0000 0.5000  6 O 2.19
Zn 0.0000 0.0000 0.0000  6 O 2.19
Np 0.3333 0.6667 0.2500  6 O 2.08
Np 0.6667 0.3333 0.7500  6 O 2.08
Si 0.6667 0.3333 0.2500  6 O 1.82
Si 0.3333 0.6667 0.7500  6 O 1.82



# 3
SmNp2O11: relaxed, PBE.

**Energy relative to the elements, uncorrected**: -2.1045 eV/atom
**Calculated volume**: 492.7 Å³ per cell
**Final energy**: -8.19 eV/atom

Cell lengths 12.0856, 8.3422, 9.8889 Å; angles 48.45, 51.87, 43.16 degrees
With the nearest neighbours (Å) after each atom.
Element x y z (fractional)
Sm 0.1591 0.3591 0.2069  6 O 2.33-2.43
Sm 0.8301 0.7229 0.7790  6 O 2.31-2.38
O 0.0697 0.9938 0.9404  2 O 1.36-1.38
O 0.6820 0.1687 0.9842  1 Np 1.89
O 0.2277 0.5299 0.2422  1 Np 1.90
O 0.0470 0.8561 0.9378  1 O 1.38
O 0.7959 0.4689 0.7934  1 Np 1.90
O 0.5866 0.4582 0.4407  1 O 1.33
O 0.0904 0.4113 0.8415  1 Np 1.94
O 0.4138 0.0073 0.3030  1 Np 1.89
O 0.3456 0.8266 0.0417  1 Np 1.89
O 0.3665 0.5149 0.4529  1 O 1.41
O 0.5154 0.5118 0.3427  2 O 1.33-1.41
O 0.9961 0.7732 0.4758  1 Np 1.89
O 0.5728 0.0191 0.7138  1 Np 1.91
O 0.8470 0.0457 0.6966  1 Np 1.89
O 0.1291 0.0500 0.2792  1 Np 1.89
O 0.6652 0.7897 0.0544  1 Np 1.91
O 0.8861 0.5870 0.1986  1 Np 1.89
O 0.3398 0.1058 0.6583  1 Np 1.82
O 0.3156 0.3017 0.9267  1 Np 1.91
O 0.6536 0.6607 0.5036  1 Np 1.89
O 0.9780 0.0313 0.1022  1 O 1.36
O 0.0016 0.2792 0.5302  1 Np 1.90
Np 0.3336 0.2053 0.7811  4 O 1.82-1.94
Np 0.8268 0.2492 0.7475  4 O 1.89-1.90
Np 0.6492 0.7813 0.2629  4 O 1.89-1.91
Np 0.1758 0.7912 0.2629  4 O 1.89-1.90



# 4
Sm4NpO10: relaxed, PBE.

**Energy relative to the elements, uncorrected**: -3.0523 eV/atom
**Calculated volume**: 204.1 Å³ per cell
**Final energy**: -8.48 eV/atom

Cell lengths 5.4457, 6.7004, 6.7004 Å; angles 80.49, 66.02, 66.02 degrees
With the nearest neighbours (Å) after each atom.
Element x y z (fractional)
O 0.0479 0.0881 0.2788  1 Np 2.19, 3 Sm 2.42-2.45
O 0.3267 0.7212 0.0881  1 Np 2.19, 3 Sm 2.42-2.45
O 0.4148 0.9119 0.7212  1 Np 2.19, 3 Sm 2.42-2.45
O 0.8640 0.7212 0.0881  1 Np 2.19, 3 Sm 2.42-2.45
O 0.2500 0.5000 0.5000  4 Sm 2.36
O 0.1360 0.2788 0.9119  1 Np 2.19, 3 Sm 2.42-2.45
O 0.7500 0.5000 0.5000  4 Sm 2.36
O 0.6733 0.2788 0.9119  1 Np 2.19, 3 Sm 2.42-2.45
O 0.9521 0.9119 0.7212  1 Np 2.19, 3 Sm 2.42-2.45
O 0.5852 0.0881 0.2788  1 Np 2.19, 3 Sm 2.42-2.45
Sm 0.1988 0.4001 0.2023  8 O 2.36-2.45
Sm 0.4011 0.7977 0.4001  8 O 2.36-2.45
Sm 0.5989 0.2023 0.5999  8 O 2.36-2.45
Sm 0.8012 0.5999 0.7977  8 O 2.36-2.45
Np 0.0000 0.0000 0.0000  8 O 2.19



# 5
Sm2NpO: relaxed, PBE.

**Energy relative to the elements, uncorrected**: -0.8373 eV/atom
**Calculated volume**: 98.7 Å³ per cell
**Final energy**: -7.67 eV/atom

Cell lengths 3.4646, 3.4646, 9.7004 Å; angles 79.71, 79.71, 60.00 degrees
With the nearest neighbours (Å) after each atom.
Element x y z (fractional)
Np 0.0000 0.0000 0.0000  2 Sm 3.33, 6 Np 3.46
O 0.5000 0.5000 0.5000  6 Sm 2.45
Sm 0.8829 0.8829 0.3513  3 O 2.45
Sm 0.1171 0.1171 0.6487  3 O 2.45



# 6
SmNp2O6: relaxed, PBE.

**Energy relative to the elements, uncorrected**: -3.2001 eV/atom
**Calculated volume**: 118.9 Å³ per cell
**Final energy**: -9.91 eV/atom

Cell lengths 3.8519, 3.8519, 9.2549 Å; angles 90.00, 90.00, 120.00 degrees
With the nearest neighbours (Å) after each atom.
Element x y z (fractional)
O 0.0000 0.0000 0.2687  3 Np 2.31, 1 Sm 2.49
O 0.3333 0.6667 0.4203  4 Np 2.27-2.36
O 0.0000 0.0000 0.7313  3 Np 2.31, 1 Sm 2.49
O 0.3333 0.6667 0.8996  1 Np 2.16, 3 Sm 2.41
O 0.6667 0.3333 0.1004  1 Np 2.16, 3 Sm 2.41
O 0.6667 0.3333 0.5797  4 Np 2.27-2.36
Np 0.3333 0.6667 0.6657  8 O 2.16-2.36
Np 0.6667 0.3333 0.3343  8 O 2.16-2.36
Sm 0.0000 0.0000 0.0000  8 O 2.41-2.49



# 7
SmNp2O7: relaxed, PBE.

**Energy relative to the elements, uncorrected**: -2.9737 eV/atom
**Calculated volume**: 131.0 Å³ per cell
**Final energy**: -9.50 eV/atom

Cell lengths 3.8310, 3.8310, 10.5436 Å; angles 79.53, 79.53, 60.00 degrees
With the nearest neighbours (Å) after each atom.
Element x y z (fractional)
O 0.4209 0.4209 0.7372  3 Np 2.31, 1 Sm 2.45, 3 O 2.46
O 0.0000 0.0000 0.0000  2 Np 2.06
O 0.5791 0.5791 0.2628  3 Np 2.31, 1 Sm 2.45, 3 O 2.46
O 0.7195 0.7195 0.8414  3 Np 2.25, 3 O 2.46
O 0.8637 0.8637 0.4089  1 Np 2.15, 3 Sm 2.40
O 0.2805 0.2805 0.1586  3 Np 2.25, 3 O 2.46
O 0.1363 0.1363 0.5911  1 Np 2.15, 3 Sm 2.40
Np 0.0666 0.0666 0.8001  8 O 2.06-2.31
Np 0.9334 0.9334 0.1999  8 O 2.06-2.31
Sm 0.5000 0.5000 0.5000  8 O 2.40-2.45



# 8
Sm2NpO6: relaxed, PBE.

**Energy relative to the elements, uncorrected**: -3.2013 eV/atom
**Calculated volume**: 284.9 Å³ per cell
**Final energy**: -8.99 eV/atom

Cell lengths 5.1774, 5.1774, 10.6293 Å; angles 90.00, 90.00, 90.00 degrees
With the nearest neighbours (Å) after each atom.
Element x y z (fractional)
Sm 0.5000 0.5000 0.6664  6 O 2.33-2.37
Sm 0.0000 0.0000 0.1664  6 O 2.33-2.37
Sm 0.0000 0.0000 0.8336  6 O 2.33-2.37
Sm 0.5000 0.5000 0.3336  6 O 2.33-2.37
O 0.2849 0.2849 0.5000  1 Np 2.09
O 0.7151 0.7151 0.5000  1 Np 2.09
O 0.7849 0.2151 0.0000  1 Np 2.09
O 0.6827 0.6827 0.8488  1 Np 2.09, 1 Sm 2.33
O 0.3173 0.3173 0.8488  1 Np 2.09, 1 Sm 2.33
O 0.1827 0.8173 0.6512  1 Np 2.09, 1 Sm 2.33
O 0.1827 0.8173 0.3488  1 Np 2.09, 1 Sm 2.33
O 0.2151 0.7849 0.0000  1 Np 2.09
O 0.8173 0.1827 0.3488  1 Np 2.09, 1 Sm 2.33
O 0.6827 0.6827 0.1512  1 Np 2.09, 1 Sm 2.33
O 0.3173 0.3173 0.1512  1 Np 2.09, 1 Sm 2.33
O 0.8173 0.1827 0.6512  1 Np 2.09, 1 Sm 2.33
Np 0.5000 0.5000 0.0000  6 O 2.09
Np 0.0000 0.0000 0.5000  6 O 2.09